# 1
Entry from Alexandria via LeMat-Bulk: a relaxed structure of Ho2Si2SnIr5 (PBE-GGA). Values from VASP.

Density of states at the Fermi level, states/eV/f.u.: 4.26
E_form (uncorrected), eV/f.u.: -8.3
SG: P4/mbm
DFT total energy, Ry/atom: -0.563

```
&SYSTEM
  ibrav = 0, nat = 20, ntyp = 4
/
ATOMIC_SPECIES
Ho 164.93 Ho.upf
Si 28.09 Si.upf
Sn 118.71 Sn.upf
Ir 192.22 Ir.upf
CELL_PARAMETERS angstrom
9.6891 0.0000 0.0000
0.0000 9.6891 0.0000
0.0000 0.0000 3.6115
ATOMIC_POSITIONS crystal
Ho 0.1759 0.3241 0.0000
Ho 0.3241 0.8241 0.0000
Ho 0.6759 0.1759 0.0000
Ho 0.8241 0.6759 0.0000
Si 0.1221 0.6221 0.0000
Si 0.3779 0.1221 0.0000
Si 0.6221 0.8779 0.0000
Si 0.8779 0.3779 0.0000
Sn 0.0000 0.0000 0.0000
Sn 0.5000 0.5000 0.0000
Ir 0.0000 0.5000 0.5000
Ir 0.0687 0.7834 0.5000
Ir 0.2166 0.0687 0.5000
Ir 0.2834 0.5687 0.5000
Ir 0.4313 0.2834 0.5000
Ir 0.5000 0.0000 0.5000
Ir 0.5687 0.7166 0.5000
Ir 0.7166 0.4313 0.5000
Ir 0.7834 0.9313 0.5000
Ir 0.9313 0.2166 0.5000
```



# 2
Entry from Alexandria via LeMat-Bulk: a relaxed structure of TbHoSiIr (PBE-GGA). Values from VASP.

Density of states at the Fermi level, states/eV/f.u.: 2.25
E_form (uncorrected), eV/f.u.: -3.5
SG: Amm2
DFT total energy, Ry/atom: -0.496

```
&SYSTEM
  ibrav = 0, nat = 4, ntyp = 4
/
ATOMIC_SPECIES
Tb 158.93 Tb.upf
Ho 164.93 Ho.upf
Si 28.09 Si.upf
Ir 192.22 Ir.upf
CELL_PARAMETERS angstrom
3.9776 0.0000 0.0000
0.0000 2.0868 5.2817
0.0000 -2.0868 5.2817
ATOMIC_POSITIONS crystal
Tb 0.0000 0.0000 0.0000
Ho 0.5000 0.2831 0.2831
Si 0.5000 0.5767 0.5767
Ir 0.0000 0.7193 0.7193
```



# 3
Entry from Alexandria via LeMat-Bulk: a relaxed structure of Tb2Ho2SiIr4 (PBE-GGA). Values from VASP.

Density of states at the Fermi level, states/eV/f.u.: 4.41
E_form (uncorrected), eV/f.u.: -4.8
SG: I4/mmm
DFT total energy, Ry/atom: -0.523

```
&SYSTEM
  ibrav = 0, nat = 9, ntyp = 4
/
ATOMIC_SPECIES
Tb 158.93 Tb.upf
Ho 164.93 Ho.upf
Si 28.09 Si.upf
Ir 192.22 Ir.upf
CELL_PARAMETERS angstrom
-3.2045 3.2045 4.4692
3.2045 -3.2045 4.4692
3.2045 3.2045 -4.4692
ATOMIC_POSITIONS crystal
Tb 0.1909 0.1909 0.0000
Tb 0.8091 0.8091 0.0000
Ho 0.2500 0.7500 0.5000
Ho 0.7500 0.2500 0.5000
Si 0.5000 0.5000 0.0000
Ir 0.2456 0.2456 0.4911
Ir 0.2456 0.7544 0.0000
Ir 0.7544 0.2456 0.0000
Ir 0.7544 0.7544 0.5089
```



# 4
Entry from Alexandria via LeMat-Bulk: a relaxed structure of Tb2Ho2Si4Ir (PBE-GGA). Values from VASP.

Density of states at the Fermi level, states/eV/f.u.: 8.35
E_form (uncorrected), eV/f.u.: -3.5
SG: I4/mmm
DFT total energy, Ry/atom: -0.428

```
&SYSTEM
  ibrav = 0, nat = 9, ntyp = 4
/
ATOMIC_SPECIES
Tb 158.93 Tb.upf
Ho 164.93 Ho.upf
Si 28.09 Si.upf
Ir 192.22 Ir.upf
CELL_PARAMETERS angstrom
-3.4181 3.4181 4.2535
3.4181 -3.4181 4.2535
3.4181 3.4181 -4.2535
ATOMIC_POSITIONS crystal
Tb 0.2500 0.7500 0.5000
Tb 0.7500 0.2500 0.5000
Ho 0.1875 0.1875 0.0000
Ho 0.8125 0.8125 0.0000
Si 0.2519 0.2519 0.5038
Si 0.2519 0.7481 0.0000
Si 0.7481 0.2519 0.0000
Si 0.7481 0.7481 0.4962
Ir 0.5000 0.5000 0.0000
```



# 5
Entry from Alexandria via LeMat-Bulk: a relaxed structure of HoSi3TcIr (PBE-GGA). Values from VASP.

Density of states at the Fermi level, states/eV/f.u.: 2.69
E_form (uncorrected), eV/f.u.: -2.4
SG: Cmcm
DFT total energy, Ry/atom: -0.520

```
&SYSTEM
  ibrav = 0, nat = 12, ntyp = 4
/
ATOMIC_SPECIES
Ho 164.93 Ho.upf
Si 28.09 Si.upf
Tc 98.00 Tc.upf
Ir 192.22 Ir.upf
CELL_PARAMETERS angstrom
3.7701 -6.0607 0.0000
3.7701 6.0607 0.0000
0.0000 0.0000 5.3066
ATOMIC_POSITIONS crystal
Ho 0.1902 0.8098 0.7500
Ho 0.8098 0.1902 0.2500
Si 0.2520 0.2520 0.0000
Si 0.2520 0.2520 0.5000
Si 0.2533 0.7467 0.2500
Si 0.7467 0.2533 0.7500
Si 0.7480 0.7480 0.0000
Si 0.7480 0.7480 0.5000
Tc 0.4350 0.5650 0.2500
Tc 0.5650 0.4350 0.7500
Ir 0.0677 0.9323 0.2500
Ir 0.9323 0.0677 0.7500
```



# 6
Entry from Alexandria via LeMat-Bulk: a relaxed structure of HoSi2TcIr (PBE-GGA). Values from VASP.

Density of states at the Fermi level, states/eV/f.u.: 2.61
E_form (uncorrected), eV/f.u.: -4.5
SG: I-4m2
DFT total energy, Ry/atom: -0.575

```
&SYSTEM
  ibrav = 0, nat = 5, ntyp = 4
/
ATOMIC_SPECIES
Ho 164.93 Ho.upf
Si 28.09 Si.upf
Tc 98.00 Tc.upf
Ir 192.22 Ir.upf
CELL_PARAMETERS angstrom
-2.0977 2.0977 4.7997
2.0977 -2.0977 4.7997
2.0977 2.0977 -4.7997
ATOMIC_POSITIONS crystal
Ho 0.0000 0.0000 0.0000
Si 0.3720 0.3720 0.0000
Si 0.6280 0.6280 0.0000
Tc 0.7500 0.2500 0.5000
Ir 0.2500 0.7500 0.5000
```



# 7
Entry from Alexandria via LeMat-Bulk: a relaxed structure of Ho2Si3TcIr4 (PBE-GGA). Values from VASP.

Density of states at the Fermi level, states/eV/f.u.: 6.70
E_form (uncorrected), eV/f.u.: -8.9
SG: P-4m2
DFT total energy, Ry/atom: -0.589

```
&SYSTEM
  ibrav = 0, nat = 10, ntyp = 4
/
ATOMIC_SPECIES
Ho 164.93 Ho.upf
Si 28.09 Si.upf
Tc 98.00 Tc.upf
Ir 192.22 Ir.upf
CELL_PARAMETERS angstrom
4.1037 0.0000 0.0000
0.0000 4.1037 0.0000
0.0000 0.0000 10.1428
ATOMIC_POSITIONS crystal
Ho 0.0000 0.5000 0.2431
Ho 0.5000 0.0000 0.7569
Si 0.0000 0.5000 0.8705
Si 0.5000 0.0000 0.1295
Si 0.5000 0.5000 0.5000
Tc 0.0000 0.0000 0.5000
Ir 0.0000 0.0000 0.0000
Ir 0.0000 0.5000 0.6378
Ir 0.5000 0.0000 0.3622
Ir 0.5000 0.5000 0.0000
```



# 8
Entry from Alexandria via LeMat-Bulk: a relaxed structure of Ho2TiSi4Ir3 (PBE-GGA). Values from VASP.

Density of states at the Fermi level, states/eV/f.u.: 6.29
E_form (uncorrected), eV/f.u.: -9.5
SG: P-4m2
DFT total energy, Ry/atom: -0.550

```
&SYSTEM
  ibrav = 0, nat = 10, ntyp = 4
/
ATOMIC_SPECIES
Ho 164.93 Ho.upf
Ti 47.87 Ti.upf
Si 28.09 Si.upf
Ir 192.22 Ir.upf
CELL_PARAMETERS angstrom
4.0472 0.0000 0.0000
0.0000 4.0472 0.0000
0.0000 0.0000 10.4855
ATOMIC_POSITIONS crystal
Ho 0.0000 0.5000 0.2461
Ho 0.5000 0.0000 0.7539
Ti 0.0000 0.0000 0.5000
Si 0.0000 0.0000 0.0000
Si 0.0000 0.5000 0.6459
Si 0.5000 0.0000 0.3541
Si 0.5000 0.5000 0.0000
Ir 0.0000 0.5000 0.8750
Ir 0.5000 0.0000 0.1250
Ir 0.5000 0.5000 0.5000
```